VASP calculation (PBE) on a geometry-optimized MgGeBi3 structure.

- total moment (μB/f.u.) = 0.0
- E_form (eV/atom) = 0.66
- symmetry = No. 221
- final energy (eV per atom) = -2.91

a = 5.487 Å, b = 5.487 Å, c = 5.487 Å
α = 90.00°, β = 90.00°, γ = 90.00°
Atoms (fractional coordinates):
Mg1 0.000 0.000 0.000
Ge1 0.500 0.500 0.500
Bi1 0.000 0.000 0.500
Bi2 0.000 0.500 0.000
Bi3 0.500 0.000 0.000



VASP calculation (PBE) on a geometry-optimized Mg2GeBi2 structure.

- total moment (μB/f.u.) = 0.0
- E_form (eV/atom) = 0.07
- symmetry = No. 127
- final energy (eV per atom) = -3.04

a = 8.718 Å, b = 8.718 Å, c = 3.533 Å
α = 90.00°, β = 90.00°, γ = 90.00°
Atoms (fractional coordinates):
Mg1 0.131 0.369 0.000
Mg2 0.369 0.869 0.000
Mg3 0.631 0.131 0.000
Mg4 0.869 0.631 0.000
Ge1 0.000 0.000 0.500
Ge2 0.500 0.500 0.500
Bi1 0.170 0.670 0.500
Bi2 0.330 0.170 0.500
Bi3 0.670 0.830 0.500
Bi4 0.830 0.330 0.500



VASP calculation (PBE) on a geometry-optimized Mg5Ge2Bi2 structure.

- total moment (μB/f.u.) = 0.0
- E_form (eV/atom) = -0.17
- symmetry = No. 64
- final energy (eV per atom) = -2.94

a = 8.789 Å, b = 8.789 Å, c = 7.610 Å
α = 90.00°, β = 90.00°, γ = 45.78°
Atoms (fractional coordinates):
Mg1 0.000 0.000 0.000
Mg2 0.044 0.713 0.682
Mg3 0.213 0.544 0.182
Mg4 0.287 0.956 0.682
Mg5 0.456 0.787 0.182
Mg6 0.500 0.500 0.500
Mg7 0.544 0.213 0.818
Mg8 0.713 0.044 0.318
Mg9 0.787 0.456 0.818
Mg10 0.956 0.287 0.318
Ge1 0.129 0.871 0.373
Ge2 0.371 0.629 0.873
Ge3 0.629 0.371 0.127
Ge4 0.871 0.129 0.627
Bi1 0.226 0.226 0.000
Bi2 0.274 0.274 0.500
Bi3 0.726 0.726 0.500
Bi4 0.774 0.774 0.000



VASP calculation (PBE) on a geometry-optimized MgGe2Bi2 structure.

- total moment (μB/f.u.) = 0.0
- E_form (eV/atom) = 0.24
- symmetry = No. 127
- final energy (eV per atom) = -3.48

a = 8.371 Å, b = 8.371 Å, c = 3.857 Å
α = 90.00°, β = 90.00°, γ = 90.00°
Atoms (fractional coordinates):
Mg1 0.000 0.000 0.000
Mg2 0.500 0.500 0.000
Ge1 0.119 0.381 0.500
Ge2 0.381 0.881 0.500
Ge3 0.619 0.119 0.500
Ge4 0.881 0.619 0.500
Bi1 0.172 0.672 0.000
Bi2 0.328 0.172 0.000
Bi3 0.672 0.828 0.000
Bi4 0.828 0.328 0.000



VASP calculation (PBE) on a geometry-optimized MgGeBi3 structure.

- total moment (μB/f.u.) = 0.0
- E_form (eV/atom) = 0.55
- symmetry = No. 221
- final energy (eV per atom) = -3.02

a = 5.558 Å, b = 5.558 Å, c = 5.558 Å
α = 90.00°, β = 90.00°, γ = 90.00°
Atoms (fractional coordinates):
Mg1 0.000 0.000 0.000
Ge1 0.500 0.500 0.500
Bi1 0.000 0.500 0.500
Bi2 0.500 0.000 0.500
Bi3 0.500 0.500 0.000



VASP calculation (PBE) on a geometry-optimized Mg3GeBi structure.

- total moment (μB/f.u.) = 0.0
- E_form (eV/atom) = 0.00
- symmetry = No. 221
- final energy (eV per atom) = -2.66

a = 5.074 Å, b = 5.074 Å, c = 5.074 Å
α = 90.00°, β = 90.00°, γ = 90.00°
Atoms (fractional coordinates):
Mg1 0.000 0.000 0.500
Mg2 0.000 0.500 0.000
Mg3 0.500 0.000 0.000
Ge1 0.000 0.000 0.000
Bi1 0.500 0.500 0.500



VASP calculation (PBE) on a geometry-optimized Mg2Ge2Bi structure.

- total moment (μB/f.u.) = 0.0
- E_form (eV/atom) = -0.03
- symmetry = No. 127
- final energy (eV per atom) = -3.29

a = 8.404 Å, b = 8.404 Å, c = 3.176 Å
α = 90.00°, β = 90.00°, γ = 90.00°
Atoms (fractional coordinates):
Mg1 0.138 0.362 0.000
Mg2 0.362 0.862 0.000
Mg3 0.638 0.138 0.000
Mg4 0.862 0.638 0.000
Ge1 0.157 0.657 0.500
Ge2 0.343 0.157 0.500
Ge3 0.657 0.843 0.500
Ge4 0.843 0.343 0.500
Bi1 0.000 0.000 0.500
Bi2 0.500 0.500 0.500



VASP calculation (PBE) on a geometry-optimized MgGe4Bi2 structure.

- total moment (μB/f.u.) = 0.0
- E_form (eV/atom) = 0.51
- symmetry = No. 139
- final energy (eV per atom) = -3.46

a = 8.330 Å, b = 8.330 Å, c = 8.330 Å
α = 144.58°, β = 144.58°, γ = 50.96°
Atoms (fractional coordinates):
Mg1 0.000 0.000 0.000
Ge1 0.000 0.500 0.500
Ge2 0.182 0.182 0.000
Ge3 0.500 0.000 0.500
Ge4 0.818 0.818 0.000
Bi1 0.368 0.368 0.000
Bi2 0.632 0.632 0.000



VASP calculation (PBE) on a geometry-optimized MgGe2Bi2 structure.

- total moment (μB/f.u.) = 0.0
- E_form (eV/atom) = 0.11
- symmetry = No. 127
- final energy (eV per atom) = -3.61

a = 7.001 Å, b = 7.001 Å, c = 5.269 Å
α = 90.00°, β = 90.00°, γ = 90.00°
Atoms (fractional coordinates):
Mg1 0.000 0.000 0.000
Mg2 0.500 0.500 0.000
Ge1 0.128 0.372 0.000
Ge2 0.372 0.872 0.000
Ge3 0.628 0.128 0.000
Ge4 0.872 0.628 0.000
Bi1 0.221 0.721 0.500
Bi2 0.279 0.221 0.500
Bi3 0.721 0.779 0.500
Bi4 0.779 0.279 0.500



VASP calculation (PBE) on a geometry-optimized Mg2Ge2Bi structure.

- total moment (μB/f.u.) = 0.0
- E_form (eV/atom) = 0.01
- symmetry = No. 139
- final energy (eV per atom) = -3.25

a = 6.343 Å, b = 6.343 Å, c = 6.343 Å
α = 137.21°, β = 137.21°, γ = 62.12°
Atoms (fractional coordinates):
Mg1 0.250 0.750 0.500
Mg2 0.750 0.250 0.500
Ge1 0.111 0.111 0.000
Ge2 0.889 0.889 0.000
Bi1 0.500 0.500 0.000



VASP calculation (PBE) on a geometry-optimized Mg3GeBi structure.

- total moment (μB/f.u.) = 0.9
- E_form (eV/atom) = 0.58
- symmetry = No. 221
- final energy (eV per atom) = -2.08

a = 5.429 Å, b = 5.429 Å, c = 5.429 Å
α = 90.00°, β = 90.00°, γ = 90.00°
Atoms (fractional coordinates):
Mg1 0.000 0.000 0.500
Mg2 0.000 0.500 0.000
Mg3 0.500 0.000 0.000
Ge1 0.500 0.500 0.500
Bi1 0.000 0.000 0.000



VASP calculation (PBE) on a geometry-optimized NaMgGeBi structure.

- total moment (μB/f.u.) = 0.0
- E_form (eV/atom) = -0.07
- symmetry = No. 216
- final energy (eV per atom) = -2.92

a = 5.158 Å, b = 5.158 Å, c = 5.158 Å
α = 60.00°, β = 60.00°, γ = 60.00°
Atoms (fractional coordinates):
Na1 0.000 0.000 0.000
Mg1 0.500 0.500 0.500
Ge1 0.250 0.250 0.250
Bi1 0.750 0.750 0.750



> Which of these has the lowest final energy?

number 9